DFT (PBE-GGA) results for a geometry-optimized LiMg2Tc structure.

a = 4.184 Å, b = 4.184 Å, c = 3.786 Å
α = 90.00°, β = 90.00°, γ = 90.00°
Fractional coordinates of all 4 atoms:
Li: 0.000 0.000 0.000
Mg: 0.000 0.500 0.500
Mg: 0.500 0.000 0.500
Tc: 0.500 0.500 0.000

Results
Energy above the most stable polymorph in this dataset   75 meV/atom
Energy of formation   0.2345 eV per atom

DFT (PBE-GGA) results for a geometry-optimized IrAuSe2 structure.

a = 4.638 Å, b = 4.638 Å, c = 4.638 Å
α = 111.50°, β = 111.50°, γ = 105.49°
Fractional coordinates of all 4 atoms:
Ir: 0.000 0.000 0.000
Au: 0.500 0.500 0.000
Se: 0.000 0.500 0.500
Se: 0.500 0.000 0.500

Results
Formation energy (no corrections)   36.9 kJ per mole of atoms

DFT (PBE-GGA) results for a geometry-optimized FeCo structure.

a = 6.095 Å, b = 6.095 Å, c = 6.095 Å
α = 90.00°, β = 90.00°, γ = 90.00°
Fractional coordinates of all 12 atoms:
Fe: 0.000 0.250 0.500
Fe: 0.000 0.750 0.500
Fe: 0.250 0.500 0.000
Fe: 0.500 0.000 0.250
Fe: 0.500 0.000 0.750
Fe: 0.750 0.500 0.000
Co: 0.000 0.500 0.250
Co: 0.000 0.500 0.750
Co: 0.250 0.000 0.500
Co: 0.500 0.250 0.000
Co: 0.500 0.750 0.000
Co: 0.750 0.000 0.500

Results
Energy of formation   1.5309 eV per atom

DFT (PBE-GGA) results for a geometry-optimized La11Zn9Ni4 structure.

a = 12.970 Å, b = 12.970 Å, c = 3.765 Å
α = 90.00°, β = 90.00°, γ = 112.83°
Fractional coordinates of all 24 atoms:
La: 0.000 0.000 0.000
La: 0.070 0.413 0.000
La: 0.168 0.832 0.000
La: 0.306 0.306 0.000
La: 0.374 0.626 0.000
La: 0.413 0.070 0.000
La: 0.587 0.930 0.000
La: 0.626 0.374 0.000
La: 0.694 0.694 0.000
La: 0.832 0.168 0.000
La: 0.930 0.587 0.000
Zn: 0.079 0.217 0.500
Zn: 0.170 0.632 0.500
Zn: 0.217 0.079 0.500
Zn: 0.368 0.830 0.500
Zn: 0.500 0.500 0.500
Zn: 0.632 0.170 0.500
Zn: 0.783 0.921 0.500
Zn: 0.830 0.368 0.500
Zn: 0.921 0.783 0.500
Ni: 0.244 0.448 0.500
Ni: 0.448 0.244 0.500
Ni: 0.552 0.756 0.500
Ni: 0.756 0.552 0.500

Results
Energy of formation   -0.3384 eV per atom

DFT (PBE-GGA) results for a geometry-optimized ReSbTe2Os structure.

a = 5.229 Å, b = 5.229 Å, c = 5.012 Å
α = 90.00°, β = 90.00°, γ = 90.00°
Fractional coordinates of all 5 atoms:
Re: 0.000 0.000 0.000
Sb: 0.500 0.500 0.000
Te: 0.000 0.500 0.500
Te: 0.500 0.000 0.500
Os: 0.500 0.500 0.500

Results
Energy above the most stable polymorph in this dataset   0 meV/atom
Formation energy (no corrections)   159.4 kJ per mole of atoms

DFT (PBE-GGA) results for a geometry-optimized K2Ba2Sr structure.

a = 11.424 Å, b = 11.424 Å, c = 5.009 Å
α = 90.00°, β = 90.00°, γ = 90.00°
Fractional coordinates of all 10 atoms:
K: 0.124 0.376 0.000
K: 0.376 0.876 0.000
K: 0.624 0.124 0.000
K: 0.876 0.624 0.000
Ba: 0.177 0.677 0.500
Ba: 0.323 0.177 0.500
Ba: 0.677 0.823 0.500
Ba: 0.823 0.323 0.500
Sr: 0.000 0.000 0.000
Sr: 0.500 0.500 0.000

Results
Energy above the most stable polymorph in this dataset   0 meV/atom
Energy of formation   0.1916 eV per atom